# Ca3TlZn2 | Alexandria | GGA-PBE | optimized geometry
# - E above lowest polymorph (eV per atom) = 0.000
# - uncorrected energy (eV per formula unit) = -12.773
# - volume (Å³/atom) = 26.50
# - magnetization (μB/atom) = 0.000
data_Ca3TlZn2
_space_group_name_H-M_alt 'P 1'
_space_group_IT_number 1
_cell_length_a 5.311
_cell_length_b 5.311
_cell_length_c 13.016
_cell_angle_alpha 90.00
_cell_angle_beta 90.00
_cell_angle_gamma 120.00
loop_
_space_group_symop_operation_xyz
'x,y,z'
loop_
_atom_site_label
_atom_site_type_symbol
_atom_site_fract_x
_atom_site_fract_y
_atom_site_fract_z
_atom_site_occupancy
Ca1 Ca 0.000 0.000 0.244 1
Ca2 Ca 0.000 0.000 0.756 1
Ca3 Ca 0.333 0.667 0.417 1
Ca4 Ca 0.333 0.667 0.922 1
Ca5 Ca 0.667 0.333 0.078 1
Ca6 Ca 0.667 0.333 0.583 1
Tl1 Tl 0.333 0.667 0.671 1
Tl2 Tl 0.667 0.333 0.329 1
Zn1 Zn 0.000 0.000 0.000 1
Zn2 Zn 0.000 0.000 0.500 1
Zn3 Zn 0.333 0.667 0.167 1
Zn4 Zn 0.667 0.333 0.833 1